No. 1
Compound: FeRe2Rh
Source: Alexandria
Functional: GGA-PBEsol
Structure: optimized geometry

a = 6.0169 Å, b = 6.0169 Å, c = 6.0169 Å
α = 90.00°, β = 90.00°, γ = 90.00°
Closest atoms and distances in Å follow each position.
Space group Fm-3m (No. 225)
Inequivalent atoms, fractional coordinates:
Fe: 0.0000 0.0000 0.0000 (multiplicity 4)  8 Re 2.61
Re: 0.2500 0.2500 0.2500 (multiplicity 8)  4 Rh 2.61, 4 Fe 2.61
Rh: 0.0000 0.0000 0.5000 (multiplicity 4)  8 Re 2.61

E = -168.094 eV for the cell shown
energy of formation = 0.44 eV per atom

***

No. 2
Compound: RbHfTaGe2
Source: Alexandria
Functional: GGA-PBEsol
Structure: optimized geometry

a = 4.9822 Å, b = 4.9822 Å, c = 4.8743 Å
α = 90.00°, β = 90.00°, γ = 90.00°
Closest atoms and distances in Å follow each position.
Space group P4/mmm (No. 123)
Inequivalent atoms, fractional coordinates:
Rb: 0.0000 0.0000 0.0000 (multiplicity 1)  2 Hf 2.44, 4 Ge 2.49
Hf: 0.0000 0.0000 0.5000 (multiplicity 1)  2 Rb 2.44
Ta: 0.5000 0.5000 0.5000 (multiplicity 1)  8 Ge 3.49, 4 Hf 3.52
Ge: 0.0000 0.5000 0.0000 (multiplicity 2)  2 Rb 2.49

E = -20.968 eV for the cell shown
energy of formation = 2.60 eV per atom

***

No. 3
Compound: La3PI3
Source: Alexandria
Functional: GGA-PBEsol
Structure: optimized geometry

a = 12.3077 Å, b = 12.3077 Å, c = 12.3077 Å
α = 90.00°, β = 90.00°, γ = 90.00°
Closest atoms and distances in Å follow each position.
Space group I4_132 (No. 214)
Inequivalent atoms, fractional coordinates:
La: 0.1085 0.3585 0.1250 (multiplicity 24)  2 P 2.88
P: 0.1250 0.1250 0.1250 (multiplicity 8)  6 La 2.88
I: 0.1138 0.1362 0.6250 (multiplicity 24)  4 La 3.24-3.30

formation energy without anion corrections = -1.5042 eV/atom
E = -301.282 eV for the cell shown

***

| no. | M_tot (μB/f.u.) |
| --- | --- |
| 1 | 1.56 |
| 2 | 0.00 |
| 3 | 0.00 |